Tl2InSnPb4, optimized geometry, DFT PBE; formation energy = 0.011 eV per atom
1.0
3.542 0.000 0.000
0.000 11.498 -1.455
0.000 2.074 5.733
Tl In Sn Pb
2 1 1 4
direct
0.000 0.000 0.000
0.500 0.000 0.500
0.000 0.500 0.500
0.500 0.500 0.000
0.000 0.739 0.740
0.000 0.261 0.260
0.500 0.739 0.239
0.500 0.261 0.761

Tl2In5SnPb, optimized geometry, DFT PBE; formation energy = 0.119 eV per atom
1.0
-3.357 3.491 -6.527
5.014 -4.201 -4.825
-6.341 -5.737 5.252
Tl In Sn Pb
4 10 2 2
direct
0.130 0.370 0.000
0.630 0.130 0.000
0.370 0.870 0.000
0.870 0.630 0.000
0.933 0.433 0.297
0.636 0.136 0.703
0.067 0.567 0.703
0.136 0.067 0.703
0.567 0.636 0.703
0.864 0.933 0.297
0.433 0.364 0.297
0.364 0.864 0.297
0.500 0.500 0.000
0.000 0.000 0.000
0.250 0.750 0.500
0.750 0.250 0.500
0.250 0.250 0.500
0.750 0.750 0.500

Tl2InSnPb, optimized geometry, DFT PBE; formation energy = 0.026 eV per atom
1.0
5.094 0.000 0.000
0.000 7.716 1.427
0.000 -1.428 7.303
Tl In Sn Pb
4 2 2 2
direct
0.750 0.852 0.551
0.750 0.651 0.954
0.250 0.148 0.449
0.250 0.349 0.046
0.250 0.945 0.854
0.750 0.055 0.146
0.250 0.548 0.642
0.750 0.452 0.358
0.250 0.744 0.253
0.750 0.256 0.747

TlInSn2Pb4, optimized geometry, DFT PBE; formation energy = 0.096 eV per atom
1.0
9.037 0.091 -1.656
0.085 9.037 -1.656
-5.675 -5.679 8.128
Tl In Sn Pb
2 2 4 8
direct
0.500 0.500 0.500
0.000 0.000 0.000
0.000 0.500 0.000
0.000 0.500 0.500
0.500 0.000 0.000
0.500 0.000 0.500
0.000 0.000 0.500
0.500 0.500 0.000
0.257 0.742 0.000
0.758 0.243 0.500
0.242 0.757 0.500
0.743 0.258 0.000
0.749 0.750 0.007
0.750 0.751 0.493
0.250 0.249 0.507
0.251 0.250 0.993

Tl2In2SnPb, optimized geometry, DFT PBE; formation energy = 0.026 eV per atom
1.0
-3.999 -0.755 -3.162
4.108 0.295 -5.266
1.462 -10.143 0.572
Tl In Sn Pb
4 4 2 2
direct
0.500 0.133 0.998
0.000 0.381 0.162
0.500 0.633 0.002
0.000 0.881 0.838
0.000 0.379 0.824
0.500 0.134 0.335
0.000 0.879 0.176
0.500 0.634 0.665
0.500 0.136 0.665
0.500 0.636 0.335
0.000 0.883 0.501
0.000 0.383 0.499

TlIn2SnPb2, optimized geometry, DFT PBE; formation energy = 0.021 eV per atom
1.0
-1.708 4.186 -1.896
-4.659 -3.561 -3.667
-6.804 0.791 7.877
Tl In Sn Pb
2 4 2 4
direct
0.000 0.885 0.500
0.000 0.385 0.500
0.000 0.382 0.828
0.500 0.129 0.335
0.000 0.882 0.172
0.500 0.629 0.665
0.500 0.142 0.675
0.500 0.642 0.325
0.500 0.130 0.996
0.000 0.377 0.171
0.500 0.630 0.004
0.000 0.877 0.829

Tl2In6SnPb, optimized geometry, DFT PBE; formation energy = 0.085 eV per atom
1.0
7.278 0.000 0.288
0.000 9.677 0.000
0.220 0.000 8.418
Tl In Sn Pb
4 12 2 2
direct
0.932 0.897 0.345
0.568 0.397 0.155
0.432 0.603 0.845
0.068 0.103 0.655
0.734 0.329 0.772
0.896 0.142 0.042
0.790 0.225 0.401
0.710 0.725 0.099
0.604 0.642 0.458
0.766 0.829 0.728
0.234 0.171 0.272
0.396 0.358 0.542
0.290 0.275 0.901
0.104 0.858 0.958
0.210 0.775 0.599
0.266 0.671 0.228
0.000 0.500 0.000
0.500 0.000 0.500
0.000 0.500 0.500
0.500 0.000 0.000

Tl2In6SnPb3, optimized geometry, DFT PBE; formation energy = 0.203 eV per atom
1.0
-0.077 3.824 2.042
-4.144 -0.664 1.087
6.359 -9.661 18.333
Tl In Sn Pb
2 6 1 3
direct
0.500 0.500 0.187
0.500 0.500 0.813
0.000 0.500 0.608
0.500 0.000 0.392
0.500 0.000 0.608
0.000 0.000 0.138
0.000 0.500 0.392
0.000 0.000 0.862
0.500 0.500 0.500
0.000 0.000 0.282
0.000 0.000 0.718
0.000 0.000 0.000

> Number 8 is which compound?

Tl2In6SnPb3

> Which value of formation energy does entry 1 give?

0.011 eV per atom

> The lowest formation energy belongs to which entry?

Tl2InSnPb4